(1)
{"formula": "TcHgBr", "functional": "PBE-GGA", "state": "optimized geometry", "dft_energy_ev_per_atom": -3.6267, "n_ef_per_ev_atom": 1.11, "raw_formation_energy_ev_per_atom": 0.49, "lattice_angstrom": [[3.239, 0.000, 0.000], [-1.619, 2.805, 0.000], [0.000, 0.000, 7.020]], "species": ["Hg", "Br", "Tc"], "frac_coords": [[0.667, 0.333, 0.378], [0.000, 0.000, 0.931], [0.333, 0.667, 0.691]]}

(2)
{"formula": "TcHgBr2", "functional": "PBE-GGA", "state": "optimized geometry", "dft_energy_ev_per_atom": -2.8157, "n_ef_per_ev_atom": 0.70, "raw_formation_energy_ev_per_atom": 0.69, "lattice_angstrom": [[5.290, 0.000, 0.000], [0.000, 5.290, 0.000], [0.000, 0.000, 3.628]], "species": ["Hg", "Br", "Br", "Tc"], "frac_coords": [[0.500, 0.000, 0.500], [0.000, 0.000, 0.000], [0.500, 0.500, 0.000], [0.000, 0.500, 0.500]]}

(3)
{"formula": "TcHgBr3", "functional": "PBE-GGA", "state": "optimized geometry", "dft_energy_ev_per_atom": -3.1180, "n_ef_per_ev_atom": 0.58, "raw_formation_energy_ev_per_atom": 0.02, "lattice_angstrom": [[5.204, 0.000, 0.000], [0.000, 5.204, 0.000], [0.000, 0.000, 5.204]], "species": ["Hg", "Br", "Br", "Br", "Tc"], "frac_coords": [[0.500, 0.500, 0.500], [0.000, 0.500, 0.000], [0.000, 0.000, 0.500], [0.500, 0.000, 0.000], [0.000, 0.000, 0.000]]}

(4)
{"formula": "TcHgBr2", "functional": "PBE-GGA", "state": "optimized geometry", "dft_energy_ev_per_atom": -3.3314, "n_ef_per_ev_atom": 0.57, "raw_formation_energy_ev_per_atom": 0.17, "lattice_angstrom": [[3.979, 0.030, 0.000], [-2.483, 3.110, 0.000], [0.000, 0.000, 11.003]], "species": ["Hg", "Br", "Br", "Tc"], "frac_coords": [[0.500, 0.500, 0.250], [0.000, 0.000, 0.918], [0.000, 0.000, 0.582], [0.500, 0.500, 0.750]]}

Magnetic moment in Bohr magnetons per cell, matching the order above: 0.000 4.537 3.276 3.000